Entry 1:
Al2V5Cr2Tc: relaxed, PBE-GGA.

Computed properties:
ΔH_f (0 K) = 99 kJ/mol of formula units

Cell lengths 3.0713, 9.6539, 9.6539 Å; angles 90.00, 90.00, 90.00 degrees
Atoms (fractional coordinates):
Al 0.0000 0.6724 0.1724
Al 0.0000 0.3276 0.8276
Al 0.0000 0.1724 0.3276
Al 0.0000 0.8276 0.6724
V 0.5000 0.1965 0.0693
V 0.5000 0.8035 0.9307
V 0.5000 0.0693 0.8035
V 0.5000 0.6965 0.4307
V 0.5000 0.9307 0.1965
V 0.5000 0.3035 0.5693
V 0.5000 0.5693 0.6965
V 0.5000 0.4307 0.3035
V 0.5000 0.5000 0.0000
V 0.5000 0.0000 0.5000
Cr 0.0000 0.1277 0.6277
Cr 0.0000 0.8723 0.3723
Cr 0.0000 0.6277 0.8723
Cr 0.0000 0.3723 0.1277
Tc 0.0000 0.0000 0.0000
Tc 0.0000 0.5000 0.5000



Entry 2:
BeCu2Mo: relaxed, PBE-GGA.

Computed properties:
ΔH_f (0 K) = 85 kJ/mol of formula units

Cell lengths 4.7395, 4.7395, 4.5618 Å; angles 71.01, 71.01, 30.78 degrees
Atoms (fractional coordinates):
Be 0.2705 0.2705 0.3016
Mo 0.5227 0.5227 0.4342
Cu 0.9706 0.9706 0.9707
Cu 0.7362 0.7362 0.7935



Entry 3:
LiHgP2Cl: relaxed, PBE-GGA.

Computed properties:
energy above the lowest structure with this stoichiometry = 0 meV per atom
E_form (uncorrected) = 515 meV per atom

Cell lengths 4.6420, 4.6420, 4.6301 Å; angles 90.00, 90.00, 90.00 degrees
Atoms (fractional coordinates):
P 0.0000 0.5000 0.0000
P 0.5000 0.0000 0.0000
Li 0.0000 0.0000 0.0000
Hg 0.5000 0.5000 0.5000
Cl 0.0000 0.0000 0.5000



Entry 4:
Er3Ge3Ru: relaxed, PBE-GGA.

Computed properties:
ΔH_f (0 K) = -555 kJ/mol of formula units

Cell lengths 4.2486, 5.7496, 13.0753 Å; angles 84.35, 80.65, 68.32 degrees
Atoms (fractional coordinates):
Er 0.5231 0.3310 0.6227
Er 0.4769 0.6690 0.3773
Er 0.2578 0.2547 0.2296
Er 0.7422 0.7453 0.7704
Er 0.4008 0.2782 0.9201
Er 0.5992 0.7218 0.0799
Ge 0.8653 0.7241 0.5453
Ge 0.1347 0.2759 0.4547
Ge 0.1245 0.8250 0.9259
Ge 0.8755 0.1750 0.0741
Ge 0.9577 0.8464 0.2382
Ge 0.0423 0.1536 0.7618
Ru 0.7543 0.0796 0.4119
Ru 0.2457 0.9204 0.5881



Entry 5:
Rb3BaW: relaxed, PBE-GGA.

Computed properties:
ΔH_f (0 K) = 678 kJ/mol of formula units
energy above the lowest structure with this stoichiometry = 0 meV per atom

Cell lengths 7.1668, 7.1668, 7.1668 Å; angles 90.00, 90.00, 90.00 degrees
Atoms (fractional coordinates):
Rb 0.0000 0.5000 0.0000
Rb 0.0000 0.0000 0.5000
Rb 0.5000 0.0000 0.0000
Ba 0.5000 0.5000 0.5000
W 0.0000 0.0000 0.0000



Entry 6:
TbCeGdY: relaxed, PBE-GGA.

Computed properties:
ΔH_f (0 K) = 64 kJ/mol of formula units

Cell lengths 5.6904, 5.6904, 5.6904 Å; angles 60.00, 60.00, 60.00 degrees
Atoms (fractional coordinates):
Y 0.2500 0.2500 0.2500
Gd 0.0000 0.0000 0.0000
Tb 0.5000 0.5000 0.5000
Ce 0.7500 0.7500 0.7500



Calculated values (μB per atom) of magnetization for the records, taken in order: 0.0000; 0.0000; 0.2013; 0.0000; 1.2053; 2.5759.